# Li3In4Pd4

A relaxed structure of Li3In4Pd4 (PBE, the Alexandria database).

Properties
crystal system	orthorhombic
energy	-3.80	eV per atom

Lattice parameters (Å, degrees): 9.367 9.367 9.367 161.53 129.33 54.39
Element x y z (fractional)
Li 0.000 0.000 0.000
Li 0.406 0.906 0.500
Li 0.594 0.094 0.500
In 0.050 0.346 0.704
In 0.358 0.654 0.704
In 0.642 0.346 0.296
In 0.950 0.654 0.296
Pd 0.258 0.258 0.000
Pd 0.298 0.500 0.798
Pd 0.702 0.500 0.202
Pd 0.742 0.742 0.000

# Li5InPd

A relaxed structure of Li5InPd (PBE, the Alexandria database).

Properties
crystal system	tetragonal
energy	-2.69	eV per atom

Lattice parameters (Å, degrees): 3.962 3.962 7.928 90.00 90.00 90.00
Element x y z (fractional)
Li 0.000 0.000 0.000
Li 0.000 0.500 0.239
Li 0.000 0.500 0.761
Li 0.500 0.000 0.239
Li 0.500 0.000 0.761
In 0.000 0.000 0.500
Pd 0.500 0.500 0.000

# Li8In2Pd

A relaxed structure of Li8In2Pd (PBE, the Alexandria database).

Properties
crystal system	monoclinic
E above lowest polymorph	19	meV per atom

Lattice parameters (Å, degrees): 7.065 7.065 5.963 105.32 105.32 43.97
Element x y z (fractional)
Li 0.109 0.109 0.970
Li 0.184 0.687 0.627
Li 0.259 0.259 0.685
Li 0.313 0.816 0.373
Li 0.687 0.184 0.627
Li 0.741 0.741 0.315
Li 0.816 0.313 0.373
Li 0.891 0.891 0.030
In 0.333 0.333 0.195
In 0.667 0.667 0.805
Pd 0.500 0.500 0.000

# Li2In4Pd

A relaxed structure of Li2In4Pd (PBE, the Alexandria database).

Properties
crystal system	tetragonal
energy	-3.10	eV per atom

Lattice parameters (Å, degrees): 6.507 6.507 6.807 90.00 90.00 90.00
Element x y z (fractional)
Li 0.000 0.500 0.000
Li 0.000 0.500 0.500
Li 0.500 0.000 0.000
Li 0.500 0.000 0.500
In 0.250 0.250 0.250
In 0.250 0.250 0.750
In 0.250 0.750 0.250
In 0.250 0.750 0.750
In 0.750 0.250 0.250
In 0.750 0.250 0.750
In 0.750 0.750 0.250
In 0.750 0.750 0.750
Pd 0.000 0.000 0.000
Pd 0.500 0.500 0.500